Entry 1:
! Tl2CrOsF, PBEsol geometry, DFT meta-GGA SCAN; values from VASP
&SYSTEM
  ibrav = 0, nat = 5, ntyp = 4
/
ATOMIC_SPECIES
Tl 204.38 Tl.upf
Cr 52.00 Cr.upf
Os 190.23 Os.upf
F 19.00 F.upf
CELL_PARAMETERS angstrom
4.909 0.000 0.000
0.000 4.909 0.000
0.000 0.000 4.008
ATOMIC_POSITIONS crystal
Tl 0.000 0.500 0.000
Tl 0.500 0.000 0.000
Cr 0.000 0.000 0.500
Os 0.500 0.500 0.500
F 0.500 0.500 0.000
! - mass density (Mg/m³) = 11.52
! - total magnetic moment (μB/f.u.) = 4.047
! - ΔE_f (raw) (eV per atom) = 0.6554

Entry 2:
! CrP2SF, PBEsol geometry, DFT meta-GGA SCAN; values from VASP
&SYSTEM
  ibrav = 0, nat = 5, ntyp = 4
/
ATOMIC_SPECIES
Cr 52.00 Cr.upf
P 30.97 P.upf
S 32.06 S.upf
F 19.00 F.upf
CELL_PARAMETERS angstrom
4.337 0.000 0.000
0.000 4.337 0.000
0.000 0.000 4.238
ATOMIC_POSITIONS crystal
Cr 0.000 0.000 0.000
P 0.000 0.500 0.000
P 0.500 0.000 0.000
S 0.000 0.000 0.500
F 0.500 0.500 0.500
! - mass density (Mg/m³) = 3.44
! - total magnetic moment (μB/f.u.) = 0.004
! - ΔE_f (raw) (eV per atom) = 0.0778

Entry 3:
! RbCr2F, PBEsol geometry, DFT meta-GGA SCAN; values from VASP
&SYSTEM
  ibrav = 0, nat = 4, ntyp = 3
/
ATOMIC_SPECIES
Rb 85.47 Rb.upf
Cr 52.00 Cr.upf
F 19.00 F.upf
CELL_PARAMETERS angstrom
0.000 3.678 3.678
3.678 0.000 3.678
3.678 3.678 0.000
ATOMIC_POSITIONS crystal
Rb 0.000 0.000 0.000
Cr 0.250 0.250 0.250
Cr 0.750 0.750 0.750
F 0.500 0.500 0.500
! - mass density (Mg/m³) = 3.48
! - total magnetic moment (μB/f.u.) = 11.565
! - ΔE_f (raw) (eV per atom) = 0.4614

Entry 4:
! RbCrF3, PBEsol geometry, DFT meta-GGA SCAN; values from VASP
&SYSTEM
  ibrav = 0, nat = 5, ntyp = 3
/
ATOMIC_SPECIES
Rb 85.47 Rb.upf
Cr 52.00 Cr.upf
F 19.00 F.upf
CELL_PARAMETERS angstrom
4.163 0.000 0.000
0.000 4.163 0.000
0.000 0.000 4.163
ATOMIC_POSITIONS crystal
Rb 0.000 0.000 0.000
Cr 0.500 0.500 0.500
F 0.000 0.500 0.500
F 0.500 0.000 0.500
F 0.500 0.500 0.000
! - mass density (Mg/m³) = 4.48
! - total magnetic moment (μB/f.u.) = 4.000
! - ΔE_f (raw) (eV per atom) = -2.8482

Entry 5:
! RbCrF5, PBEsol geometry, DFT meta-GGA SCAN; values from VASP
&SYSTEM
  ibrav = 0, nat = 28, ntyp = 3
/
ATOMIC_SPECIES
Rb 85.47 Rb.upf
Cr 52.00 Cr.upf
F 19.00 F.upf
CELL_PARAMETERS angstrom
5.469 0.000 0.000
0.000 7.674 0.000
0.000 0.000 10.160
ATOMIC_POSITIONS crystal
Rb 0.000 0.118 0.000
Rb 0.000 0.882 0.500
Rb 0.500 0.360 0.656
Rb 0.500 0.640 0.156
Cr 0.000 0.424 0.364
Cr 0.000 0.576 0.864
Cr 0.500 0.128 0.262
Cr 0.500 0.872 0.762
F 0.000 0.245 0.475
F 0.000 0.414 0.737
F 0.000 0.586 0.237
F 0.000 0.755 0.975
F 0.234 0.462 0.951
F 0.234 0.538 0.451
F 0.248 0.307 0.261
F 0.248 0.693 0.761
F 0.268 0.036 0.757
F 0.268 0.964 0.257
F 0.500 0.142 0.437
F 0.500 0.155 0.088
F 0.500 0.845 0.588
F 0.500 0.858 0.937
F 0.732 0.036 0.757
F 0.732 0.964 0.257
F 0.752 0.307 0.261
F 0.752 0.693 0.761
F 0.766 0.462 0.951
F 0.766 0.538 0.451
! - mass density (Mg/m³) = 3.62
! - total magnetic moment (μB/f.u.) = 2.000
! - ΔE_f (raw) (eV per atom) = -2.9071

Entry 6:
! RbCrSi2F, PBEsol geometry, DFT meta-GGA SCAN; values from VASP
&SYSTEM
  ibrav = 0, nat = 5, ntyp = 4
/
ATOMIC_SPECIES
Rb 85.47 Rb.upf
Cr 52.00 Cr.upf
Si 28.09 Si.upf
F 19.00 F.upf
CELL_PARAMETERS angstrom
4.488 0.000 0.000
0.000 4.488 0.000
0.000 0.000 4.892
ATOMIC_POSITIONS crystal
Rb 0.000 0.000 0.000
Cr 0.500 0.500 0.000
Si 0.000 0.500 0.500
Si 0.500 0.000 0.500
F 0.000 0.000 0.500
! - mass density (Mg/m³) = 3.58
! - total magnetic moment (μB/f.u.) = 3.812
! - ΔE_f (raw) (eV per atom) = 0.3154